(1)
First-principles (meta-GGA SCAN) data for BeIn2As at its PBEsol-relaxed geometry, as listed in Alexandria via LeMat-Bulk.

```
data_BeIn2As
_cell_length_a 2.8361
_cell_length_b 3.4814
_cell_length_c 7.8209
_cell_angle_alpha 90.00
_cell_angle_beta 90.00
_cell_angle_gamma 90.00
_space_group_name_H-M_alt 'P m m m'
_space_group_IT_number 47
loop_
_space_group_symop_operation_xyz
'x,y,z'
'-x,-y,-z'
'-x,-y,z'
'x,y,-z'
'x,-y,-z'
'-x,y,z'
'-x,y,-z'
'x,-y,z'
loop_
_atom_site_label
_atom_site_type_symbol
_atom_site_fract_x
_atom_site_fract_y
_atom_site_fract_z
Be1 Be 0.0000 0.0000 0.0000
In1 In 0.5000 0.5000 0.2133
As1 As 0.5000 0.0000 0.5000
```

(2)
First-principles (meta-GGA SCAN) data for Be2AsIr at its PBEsol-relaxed geometry, as listed in Alexandria via LeMat-Bulk.

```
data_Be2AsIr
_cell_length_a 6.2269
_cell_length_b 6.2269
_cell_length_c 5.2996
_cell_angle_alpha 90.00
_cell_angle_beta 90.00
_cell_angle_gamma 90.00
_space_group_name_H-M_alt 'I -4 2 d'
_space_group_IT_number 122
_space_group_name_Hall 'I -4 2bw'
loop_
_atom_site_label
_atom_site_type_symbol
_atom_site_fract_x
_atom_site_fract_y
_atom_site_fract_z
Be1 Be 0.2491 0.2500 0.1250
As1 As 0.0000 0.0000 0.0000
Ir1 Ir 0.0000 0.0000 0.5000
```

(3)
First-principles (meta-GGA SCAN) data for Be2AsIr at its PBEsol-relaxed geometry, as listed in Alexandria via LeMat-Bulk.

```
data_Be2AsIr
_cell_length_a 4.0254
_cell_length_b 4.0254
_cell_length_c 2.8745
_cell_angle_alpha 90.00
_cell_angle_beta 90.00
_cell_angle_gamma 90.00
_space_group_name_H-M_alt 'P 4/m m m'
_space_group_IT_number 123
_space_group_name_Hall '-P 4 2'
loop_
_atom_site_label
_atom_site_type_symbol
_atom_site_fract_x
_atom_site_fract_y
_atom_site_fract_z
Be1 Be 0.0000 0.5000 0.0000
As1 As 0.0000 0.0000 0.5000
Ir1 Ir 0.5000 0.5000 0.5000
```

(4)
First-principles (meta-GGA SCAN) data for BeAsIr at its PBEsol-relaxed geometry, as listed in Alexandria via LeMat-Bulk.

```
data_BeAsIr
_cell_length_a 3.2639
_cell_length_b 3.2639
_cell_length_c 7.3019
_cell_angle_alpha 90.00
_cell_angle_beta 90.00
_cell_angle_gamma 90.00
_space_group_name_H-M_alt 'I 4 m m'
_space_group_IT_number 107
_space_group_name_Hall 'I 4 -2'
loop_
_atom_site_label
_atom_site_type_symbol
_atom_site_fract_x
_atom_site_fract_y
_atom_site_fract_z
Be1 Be 0.0000 0.0000 0.0000
As1 As 0.0000 0.0000 0.6807
Ir1 Ir 0.0000 0.0000 0.3409
```

(5)
First-principles (meta-GGA SCAN) data for K3BeAs at its PBEsol-relaxed geometry, as listed in Alexandria via LeMat-Bulk.

```
data_K3BeAs
_cell_length_a 6.3035
_cell_length_b 6.3035
_cell_length_c 6.3035
_cell_angle_alpha 90.00
_cell_angle_beta 90.00
_cell_angle_gamma 90.00
_space_group_name_H-M_alt 'P m -3 m'
_space_group_IT_number 221
_space_group_name_Hall '-P 4 2 3'
loop_
_atom_site_label
_atom_site_type_symbol
_atom_site_fract_x
_atom_site_fract_y
_atom_site_fract_z
K1 K 0.0000 0.0000 0.5000
Be1 Be 0.5000 0.5000 0.5000
As1 As 0.0000 0.0000 0.0000
```

(6)
First-principles (meta-GGA SCAN) data for KBe4As at its PBEsol-relaxed geometry, as listed in Alexandria via LeMat-Bulk.

```
data_KBe4As
_cell_length_a 6.9703
_cell_length_b 6.9703
_cell_length_c 6.9703
_cell_angle_alpha 90.00
_cell_angle_beta 90.00
_cell_angle_gamma 90.00
_space_group_name_H-M_alt 'F -4 3 m'
_space_group_IT_number 216
_space_group_name_Hall 'F -4 2 3'
loop_
_atom_site_label
_atom_site_type_symbol
_atom_site_fract_x
_atom_site_fract_y
_atom_site_fract_z
K1 K 0.0000 0.0000 0.0000
Be1 Be 0.1233 0.1233 0.3767
As1 As 0.2500 0.2500 0.7500
```

Table of formation energy (eV/f.u.), in record order: 1.2; 1.4; -0.6; -0.4; 2.0; 4.8
Table of total magnetic moment (μB per cell), in record order: 0.00; 0.00; 0.00; 0.00; 0.00; 0.00